# 1
The following is a DFT calculation (GGA-PBE) of an optimized crystal structure of Pr2GaSi2.

Computed properties:
Magnetization: 0.000 μB per formula unit
V: 23.06 Å³/atom
E: -5.36 eV/atom

a b c (Å): 11.150 4.277 10.774
angles (deg): 90.00 116.16 90.00
Space group C2/m (No. 12)
Symmetry-distinct sites (fractional):
Pr1 0.107 0.000 0.408 [4 per cell]
Pr2 0.208 0.500 0.146 [4 per cell]
Ga1 0.058 0.500 0.808 [4 per cell]
Si1 0.031 0.000 0.910 [4 per cell]
Si2 0.117 0.500 0.612 [4 per cell]

=====

# 2
The following is a DFT calculation (GGA-PBE) of an optimized crystal structure of NpTlH2Cl8.

Computed properties:
Magnetization: 2.000 μB per formula unit
V: 33.57 Å³/atom
E: -4.16 eV/atom

a b c (Å): 7.124 7.534 7.930
angles (deg): 72.12 87.17 83.92
Space group P-1 (No. 2)
Symmetry-distinct sites (fractional):
Np1 0.000 0.000 0.000 [1 per cell]
Tl1 0.000 0.500 0.500 [1 per cell]
H1 0.307 0.803 0.653 [2 per cell]
Cl1 0.172 0.676 0.103 [2 per cell]
Cl2 0.179 0.072 0.698 [2 per cell]
Cl3 0.250 0.125 0.125 [2 per cell]
Cl4 0.379 0.644 0.631 [2 per cell]

=====

# 3
The following is a DFT calculation (GGA-PBE) of an optimized crystal structure of CrP2AuS.

Computed properties:
ΔE to the lowest computed polymorph: 0.0 kJ per mole of atoms
Magnetization: 0.000 μB per formula unit
V: 17.71 Å³/atom

a b c (Å): 4.550 4.550 4.278
angles (deg): 90.00 90.00 90.00
Space group P4/mmm (No. 123)
Symmetry-distinct sites (fractional):
Cr1 0.000 0.000 0.000 [1 per cell]
P1 0.000 0.500 0.000 [2 per cell]
Au1 0.500 0.500 0.500 [1 per cell]
S1 0.000 0.000 0.500 [1 per cell]

=====

# 4
The following is a DFT calculation (GGA-PBE) of an optimized crystal structure of Ac6Ag2Pt.

Computed properties:
Magnetization: 0.000 μB per formula unit
E_form: -0.35 eV per atom
V: 37.35 Å³/atom

a b c (Å): 7.228 8.248 13.029
angles (deg): 90.00 120.06 90.00
Space group P2_1/c (No. 14)
Symmetry-distinct sites (fractional):
Ac1 0.106 0.197 0.436 [4 per cell]
Ac2 0.277 0.674 0.437 [4 per cell]
Ac3 0.392 0.040 0.244 [4 per cell]
Ag1 0.163 0.110 0.729 [4 per cell]
Pt1 0.500 0.000 0.500 [2 per cell]

=====

# 5
The following is a DFT calculation (GGA-PBE) of an optimized crystal structure of HfBW.

Computed properties:
Magnetization: 0.000 μB per formula unit
E_form: -0.47 eV per atom
V: 14.14 Å³/atom

a b c (Å): 9.493 3.351 6.554
angles (deg): 90.00 125.49 90.00
Space group C2/m (No. 12)
Symmetry-distinct sites (fractional):
Hf1 0.084 0.000 0.339 [4 per cell]
B1 0.115 0.500 0.652 [4 per cell]
W1 0.191 0.500 0.088 [4 per cell]